The following is a DFT calculation (GGA+U) of a geometry-optimized MnNbGeO6 structure.

```
data_MnNbGeO6
_symmetry_space_group_name_H-M 'P 1'
_symmetry_Int_Tables_number 1
_cell_length_a 5.0987
_cell_length_b 5.0987
_cell_length_c 8.9054
_cell_angle_alpha 90.00
_cell_angle_beta 90.00
_cell_angle_gamma 120.00
loop_
_symmetry_equiv_pos_as_xyz
'x,y,z'
loop_
_atom_site_label
_atom_site_fract_x
_atom_site_fract_y
_atom_site_fract_z
_atom_site_occupancy
Mn1 0.0000 0.0000 0.0000 1
Mn2 0.0000 0.0000 0.5000 1
Nb1 0.3333 0.6667 0.2500 1
Nb2 0.6667 0.3333 0.7500 1
Ge1 0.6667 0.3333 0.2500 1
Ge2 0.3333 0.6667 0.7500 1
O1 0.6600 0.6459 0.1322 1
O2 0.9860 0.3400 0.1322 1
O3 0.3400 0.9860 0.6322 1
O4 0.0140 0.6600 0.8678 1
O5 0.3541 0.3400 0.3678 1
O6 0.9860 0.6459 0.3678 1
O7 0.6459 0.9860 0.8678 1
O8 0.6600 0.0140 0.3678 1
O9 0.0140 0.3541 0.6322 1
O10 0.3541 0.0140 0.1322 1
O11 0.6459 0.6600 0.6322 1
O12 0.3400 0.3541 0.8678 1
```

DFT total energy: -7.58 eV/atom
spin magnetization: 7.997 μB/cell
crystal system: trigonal
space group: P-31c